Record 1
Compound: Dy3Tm2Sc3
Source: Alexandria via LeMat-Bulk
Functional: PBE
Structure: optimized geometry

Calculated values
The symmetry is No. 71. The calculation puts the total DFT energy (no corrections) at -5.1702 eV per atom. The calculation puts the total magnetization at 0.000 Bohr magnetons per cell.

a = 4.777 Å, b = 4.886 Å, c = 10.303 Å
α = 103.72°, β = 103.40°, γ = 90.00°
Positions (direct):
Tm: 0.749 0.249 0.498
Tm: 0.251 0.751 0.502
Sc: 0.876 0.876 0.751
Sc: 0.000 0.500 0.000
Sc: 0.124 0.124 0.249
Dy: 0.378 0.378 0.755
Dy: 0.500 0.000 0.000
Dy: 0.622 0.622 0.245


Record 2
Compound: Ce2ZrF11
Source: Alexandria via LeMat-Bulk
Functional: PBE
Structure: optimized geometry

Calculated values
The symmetry is No. 72. The calculation puts the total DFT energy (no corrections) at -6.7342 eV per atom. The calculation puts the total magnetization at 2.087 Bohr magnetons per cell.

a = 8.357 Å, b = 8.561 Å, c = 8.561 Å
α = 74.53°, β = 60.79°, γ = 60.79°
Each line ends with the local moment (μB).
Positions (direct):
F: 0.441 0.984 0.310  0.00
F: 0.000 0.000 0.000  -0.01
F: 0.658 0.708 0.575  0.00
F: 0.559 0.016 0.690  0.00
F: 0.059 0.190 0.516  0.00
F: 0.874 0.787 0.213  -0.01
F: 0.126 0.213 0.787  -0.01
F: 0.626 0.287 0.713  -0.01
F: 0.941 0.425 0.292  0.00
F: 0.441 0.792 0.925  0.00
F: 0.735 0.690 0.016  0.00
F: 0.059 0.575 0.708  0.00
F: 0.158 0.075 0.208  0.00
F: 0.842 0.925 0.792  0.00
F: 0.235 0.516 0.190  0.00
F: 0.342 0.292 0.425  0.00
F: 0.265 0.310 0.984  0.00
F: 0.765 0.484 0.810  0.00
F: 0.559 0.208 0.075  0.00
F: 0.500 0.500 0.500  -0.01
F: 0.941 0.810 0.484  0.00
F: 0.374 0.713 0.287  -0.01
Ce: 0.649 0.683 0.317  0.52
Ce: 0.351 0.317 0.683  0.52
Ce: 0.149 0.817 0.183  0.52
Ce: 0.851 0.183 0.817  0.52
Zr: 0.750 0.750 0.750  0.00
Zr: 0.250 0.250 0.250  0.00


Record 3
Compound: Ca2NpSbO6
Source: Alexandria via LeMat-Bulk
Functional: PBE
Structure: optimized geometry

Calculated values
The symmetry is No. 99. The calculation puts the total DFT energy (no corrections) at -7.4329 eV per atom. The calculation puts the total magnetization at 1.999 Bohr magnetons per cell.

a = 4.529 Å, b = 6.052 Å, c = 6.052 Å
α = 90.00°, β = 90.00°, γ = 90.00°
Each line ends with the local moment (μB).
Positions (direct):
O: 0.722 0.757 0.243  -0.05
O: 0.722 0.243 0.243  -0.05
O: 0.722 0.243 0.757  -0.05
O: 0.170 0.000 0.000  -0.07
O: 0.090 0.500 0.500  -0.03
O: 0.722 0.757 0.757  -0.05
Ca: 0.997 0.500 0.000  0.01
Ca: 0.997 0.000 0.500  0.01
Np: 0.657 0.000 0.000  2.25
Sb: 0.648 0.500 0.500  -0.03


Record 4
Compound: PaBH4
Source: Alexandria via LeMat-Bulk
Functional: PBE
Structure: optimized geometry

Calculated values
The symmetry is No. 36. The calculation puts the total DFT energy (no corrections) at -4.9490 eV per atom. The calculation puts the total magnetization at 0.000 Bohr magnetons per cell.

a = 3.653 Å, b = 4.609 Å, c = 5.614 Å
α = 90.00°, β = 108.99°, γ = 90.00°
Positions (direct):
H: 0.759 0.385 0.519
H: 0.473 0.916 0.947
H: 0.241 0.885 0.481
H: 0.935 0.347 0.870
H: 0.651 0.063 0.303
H: 0.527 0.416 0.053
H: 0.065 0.847 0.130
H: 0.349 0.563 0.697
B: 0.587 0.825 0.175
B: 0.413 0.325 0.825
Pa: 0.860 0.897 0.720
Pa: 0.140 0.397 0.280